LiAlCdPb | PBE | optimized geometry

The structure belongs to space group F-43m (No. 216); the cell edges are 7.047, 7.047 and 7.047 Å and the angles 90.00°, 90.00° and 90.00°. The distinct sites, in fractional coordinates, are Li at (0.000, 0.000, 0.000), Al at (0.000, 0.000, 0.500), Cd at (0.250, 0.250, 0.750) and Pb at (0.250, 0.250, 0.250).

The value obtained for the formation energy from the elements is -0.03 eV/atom. As for the total magnetic moment: 0.00 μB per formula unit. As for the total energy: -2.596 eV/atom.